AgHg4Pb | the Alexandria database | PBE | relaxed; formation energy = 0.197 eV per atom; D(E_F) = 2.72 states/eV/f.u.
1.0
0.000 4.240 4.240
4.240 0.000 4.240
4.240 4.240 0.000
Ag Hg Pb
1 4 1
Cartesian
0.000 0.000 0.000 Ag
3.177 5.302 5.302 Hg
5.302 5.302 3.177 Hg
5.302 3.177 5.302 Hg
3.177 3.177 3.177 Hg
6.360 6.360 6.360 Pb